[1]
# RuPtS2

RuPtS2 after structural relaxation (PBE, Alexandria).

## Properties
Raw formation energy (meV/atom): 188
Total moment (μB per formula unit): 0.00
Energy relative to the lowest polymorph listed for this composition (meV/atom): 295

Cell and atoms, written as extended XYZ:
```
4
Lattice="0.196 -0.900 7.393 3.428 -0.203 6.611 1.186 2.324 6.979" Properties=species:S:1:pos:R:3 pbc="T T T"
Ru 0.000 0.000 0.000
S 4.314 1.095 18.818
S 0.496 0.126 2.165
Pt 2.405 0.610 10.491
```

***

[2]
# PrTmTh

PrTmTh after structural relaxation (PBE, Alexandria).

## Properties
Total moment (μB per formula unit): 0.00
Formation enthalpy at 0 K (kJ per mole of atoms): 3.88
Energy relative to the lowest polymorph listed for this composition (meV/atom): 7

Cell and atoms, written as extended XYZ:
```
3
Lattice="3.609 0.000 0.000 0.000 3.609 0.000 -1.805 -1.805 7.585" Properties=species:S:1:pos:R:3 pbc="T T T"
Pr 1.805 1.805 7.506
Tm 1.805 1.805 2.659
Th 0.000 0.000 5.006
```

***

[3]
# Nd12CoSb6

Nd12CoSb6 after structural relaxation (PBE, Alexandria).

## Properties
Raw formation energy (meV/atom): -646
Total moment (μB per formula unit): 0.00

Cell and atoms, written as extended XYZ:
```
19
Lattice="8.797 -0.042 -0.050 -1.375 8.689 -0.050 -1.375 -1.602 8.540" Properties=species:S:1:pos:R:3 pbc="T T T"
Nd 5.692 4.284 3.720
Nd 1.999 6.065 4.880
Nd 3.372 2.539 6.839
Nd 0.355 2.761 4.720
Nd 4.049 0.981 3.560
Nd 2.676 4.506 1.601
Nd -1.313 8.088 2.600
Nd -2.146 4.474 8.047
Nd 4.748 8.175 0.018
Nd 7.361 -1.042 5.840
Nd 8.193 2.571 0.394
Nd 1.300 -1.129 8.422
Co 0.000 0.000 0.000
Sb 4.360 7.022 2.976
Sb 5.054 2.483 1.000
Sb -0.232 5.078 2.621
Sb 1.688 0.024 5.464
Sb 0.993 4.563 7.440
Sb 6.280 1.968 5.819
```